No. 1
This record from Alexandria describes a relaxed structure of CdSbAs2. The functional is GGA-PBE.

Values from the calculation:
uncorrected energy	-3.479	eV per atom

Lattice parameters (Å, degrees): 3.8775 3.8775 6.8110 90.00 90.00 90.00
Positions (direct):
Cd (0.0000, 0.0000, 0.0000)
Sb (0.5000, 0.5000, 0.1746)
As (0.0000, 0.0000, 0.6094)
As (0.5000, 0.5000, 0.5645)

***

No. 2
This record from Alexandria describes a relaxed structure of NaGaTeN2. The functional is GGA-PBE.

Values from the calculation:
uncorrected energy	-3.832	eV per atom

Lattice parameters (Å, degrees): 4.1331 4.1331 5.8083 90.00 90.00 90.00
Positions (direct):
Na (0.0000, 0.0000, 0.0000)
Ga (0.5000, 0.5000, 0.5000)
Te (0.5000, 0.5000, 0.0000)
N (0.0000, 0.5000, 0.5000)
N (0.5000, 0.0000, 0.5000)

***

No. 3
This record from Alexandria describes a relaxed structure of HgHRh2. The functional is GGA-PBE.

Values from the calculation:
uncorrected energy	-4.427	eV per atom

Lattice parameters (Å, degrees): 2.9962 2.9962 6.8209 90.00 90.00 120.00
Positions (direct):
Hg (0.0000, 0.0000, 0.0000)
H (0.3333, 0.6667, 0.6007)
Rh (0.3333, 0.6667, 0.3310)
Rh (0.6667, 0.3333, 0.6610)

***

No. 4
This record from Alexandria describes a relaxed structure of NaLa2Zr. The functional is GGA-PBE.

Values from the calculation:
energy relative to the elements	0.18	eV/atom

Lattice parameters (Å, degrees): 3.4873 3.4873 38.0962 90.00 90.00 120.00
Positions (direct):
Na (0.0000, 0.0000, 0.0000)
Na (0.3333, 0.6667, 0.6667)
Na (0.6667, 0.3333, 0.3333)
La (0.0000, 0.0000, 0.0958)
La (0.0000, 0.0000, 0.9042)
La (0.3333, 0.6667, 0.5709)
La (0.3333, 0.6667, 0.7624)
La (0.6667, 0.3333, 0.2376)
La (0.6667, 0.3333, 0.4291)
Zr (0.0000, 0.0000, 0.5000)
Zr (0.3333, 0.6667, 0.1667)
Zr (0.6667, 0.3333, 0.8333)

***

No. 5
This record from Alexandria describes a relaxed structure of RbNa2Bi6. The functional is GGA-PBE.

Values from the calculation:
energy relative to the elements	-0.16	eV/atom

Lattice parameters (Å, degrees): 9.1634 9.1634 5.3475 103.44 103.44 52.77
Positions (direct):
Rb (0.0000, 0.0000, 0.0000)
Na (0.3935, 0.3935, 0.9043)
Na (0.6065, 0.6065, 0.0957)
Bi (0.0020, 0.4000, 0.7107)
Bi (0.3108, 0.6892, 0.5000)
Bi (0.4000, 0.0020, 0.7107)
Bi (0.6000, 0.9980, 0.2893)
Bi (0.6892, 0.3108, 0.5000)
Bi (0.9980, 0.6000, 0.2893)